This record from the Alexandria database describes a relaxed structure of EuInPd. The functional is PBEsol.

```
EuInPd
1.0
7.2557 0.0000 0.0000
0.0000 4.4508 0.0000
0.0000 0.0000 8.3897
Eu In Pd
4 4 4
Direct
0.0354 0.2500 0.1791 Eu
0.4646 0.7500 0.6791 Eu
0.5354 0.2500 0.3209 Eu
0.9646 0.7500 0.8209 Eu
0.1448 0.2500 0.5629 In
0.3552 0.7500 0.0629 In
0.6448 0.2500 0.9371 In
0.8552 0.7500 0.4371 In
0.2342 0.7500 0.3762 Pd
0.2658 0.2500 0.8762 Pd
0.7342 0.7500 0.1238 Pd
0.7658 0.2500 0.6238 Pd
```

Output
* DFT total energy: -0.532 Ry per atom
* calculated volume: 270.9 Å³ per cell
* energy of formation: -0.7323 eV per atom
* density of states at the Fermi level: 40.0 states/eV per cell
* symmetry: No. 62

This record from the Alexandria database describes a relaxed structure of Cd8Au. The functional is PBEsol.

```
Cd8Au
1.0
-4.5711 4.5711 2.1583
4.5711 -4.5711 2.1583
4.5711 4.5711 -2.1583
Cd Au
8 1
Direct
0.0000 0.3298 0.3298 Cd
0.0000 0.6702 0.6702 Cd
0.3298 0.0000 0.3298 Cd
0.3363 0.3363 0.6726 Cd
0.3363 0.6637 0.0000 Cd
0.6637 0.3363 0.0000 Cd
0.6637 0.6637 0.3274 Cd
0.6702 0.0000 0.6702 Cd
0.0000 0.0000 0.0000 Au
```

Output
* DFT total energy: -0.112 Ry per atom
* calculated volume: 180.4 Å³ per cell
* energy of formation: -0.0279 eV per atom
* density of states at the Fermi level: 3.3 states/eV per cell
* symmetry: No. 139

This record from the Alexandria database describes a relaxed structure of ErSi. The functional is PBEsol.

```
ErSi
1.0
7.7240 0.0000 0.0000
0.0000 3.7654 0.0000
0.0000 0.0000 5.5802
Er Si
4 4
Direct
0.1790 0.2500 0.1152 Er
0.3210 0.7500 0.6152 Er
0.6790 0.2500 0.3848 Er
0.8210 0.7500 0.8848 Er
0.0385 0.2500 0.6310 Si
0.4615 0.7500 0.1310 Si
0.5385 0.2500 0.8690 Si
0.9615 0.7500 0.3690 Si
```

Output
* DFT total energy: -0.458 Ry per atom
* formation energy without anion corrections: -0.8957 eV per atom
* calculated volume: 162.3 Å³ per cell
* density of states at the Fermi level: 3.6 states/eV per cell
* symmetry: No. 62

This record from the Alexandria database describes a relaxed structure of CuTcBi2Pd. The functional is PBEsol.

```
CuTcBi2Pd
1.0
5.1642 0.0000 0.0000
0.0000 5.1642 0.0000
0.0000 0.0000 4.5845
Cu Tc Bi Pd
1 1 2 1
Direct
0.0000 0.0000 0.0000 Cu
0.5000 0.5000 0.0000 Tc
0.0000 0.5000 0.5000 Bi
0.5000 0.0000 0.5000 Bi
0.0000 0.0000 0.5000 Pd
```

Output
* DFT total energy: -0.359 Ry per atom
* calculated volume: 122.3 Å³ per cell
* energy of formation: 1.1433 eV per atom
* density of states at the Fermi level: 3.3 states/eV per cell
* symmetry: No. 123